# 1
This record from Alexandria describes crystalline LiCa6Rh2 at its relaxed geometry. The functional is PBE-GGA.

Cell lengths 9.6542, 8.8341, 8.8341 Å; angles 67.86, 56.88, 56.88 degrees
With the nearest neighbours (Å) after each atom.
Atoms (fractional coordinates):
Li 0.5000 0.5000 0.5000  12 Ca 3.52-3.76
Li 0.0000 0.0000 0.0000  2 Rh 3.02, 8 Ca 3.32-3.34
Ca 0.2926 0.1777 0.8223  3 Rh 3.01-3.10, 1 Li 3.32
Ca 0.7074 0.8223 0.1777  3 Rh 3.01-3.10, 1 Li 3.32
Ca 0.7074 0.1777 0.8223  3 Rh 3.01-3.10, 1 Li 3.32
Ca 0.2926 0.8223 0.1777  3 Rh 3.01-3.10, 1 Li 3.32
Ca 0.7603 0.4469 0.0326  1 Rh 2.82
Ca 0.2397 0.5531 0.9674  1 Rh 2.82
Ca 0.7603 0.0326 0.4469  1 Rh 2.82
Ca 0.2397 0.9674 0.5531  1 Rh 2.82
Ca 0.9842 0.3398 0.3398  3 Rh 2.89-3.11
Ca 0.0158 0.6602 0.6602  3 Rh 2.89-3.11
Ca 0.3362 0.3398 0.3398  3 Rh 2.89-3.11
Ca 0.6638 0.6602 0.6602  3 Rh 2.89-3.11
Rh 0.3721 0.1279 0.1279  1 Rh 2.82, 6 Ca 2.89-3.01
Rh 0.6279 0.8721 0.8721  1 Rh 2.82, 6 Ca 2.89-3.01
Rh 0.0000 0.3067 0.6933  8 Ca 2.82-3.11, 1 Li 3.02
Rh 0.0000 0.6933 0.3067  8 Ca 2.82-3.11, 1 Li 3.02

DOS at the Fermi energy ... 12.052 states/eV per cell
E_form ... -0.26 eV/atom
Magnetization ... 0.00 μB per formula unit
Space group ... Immm, No. 71

=====

# 2
This record from Alexandria describes crystalline LiCa5Rh2 at its relaxed geometry. The functional is PBE-GGA.

Cell lengths 4.2917, 7.3981, 8.7436 Å; angles 115.03, 104.21, 90.00 degrees
With the nearest neighbours (Å) after each atom.
Atoms (fractional coordinates):
Li 0.0000 0.0000 0.0000  10 Ca 3.70-3.72
Ca 0.0000 0.5000 0.0000  2 Rh 2.83
Ca 0.6587 0.4069 0.3174  3 Rh 2.87-3.00
Ca 0.3413 0.5931 0.6826  3 Rh 2.87-3.00
Ca 0.6587 0.9105 0.3174  3 Rh 2.87-3.00
Ca 0.3413 0.0895 0.6826  3 Rh 2.87-3.00
Rh 0.1855 0.6855 0.3709  7 Ca 2.83-3.00
Rh 0.8145 0.3145 0.6291  7 Ca 2.83-3.00

DOS at the Fermi energy ... 5.742 states/eV per cell
E_form ... -0.20 eV/atom
Magnetization ... 0.00 μB per formula unit
Space group ... Immm, No. 71

=====

# 3
This record from Alexandria describes crystalline LiCa2Rh at its relaxed geometry. The functional is PBE-GGA.

Cell lengths 4.3168, 4.1400, 5.8100 Å; angles 69.28, 90.00, 90.00 degrees
With the nearest neighbours (Å) after each atom.
Atoms (fractional coordinates):
Ca 0.0000 0.9891 0.8978  2 Li 2.95, 4 Rh 3.09-3.10
Ca 0.5000 0.2673 0.3393  3 Rh 3.05-3.19, 4 Li 3.13
Rh 0.5000 0.5621 0.7525  2 Li 2.53
Li 0.0000 0.6815 0.5103  2 Rh 2.53

DOS at the Fermi energy ... 2.845 states/eV per cell
E_form ... -0.20 eV/atom
Magnetization ... 0.00 μB per formula unit
Space group ... Pm, No. 6

=====

# 4
This record from Alexandria describes crystalline LiCa3Rh2 at its relaxed geometry. The functional is PBE-GGA.

Cell lengths 7.4762, 8.9956, 11.0359 Å; angles 90.00, 131.60, 90.00 degrees
With the nearest neighbours (Å) after each atom.
Atoms (fractional coordinates):
Li 0.7647 0.6719 0.3640  2 Rh 2.62-2.77
Li 0.7353 0.1719 0.1360  2 Rh 2.62-2.77
Li 0.2353 0.3281 0.6360  2 Rh 2.62-2.77
Li 0.2647 0.8281 0.8640  2 Rh 2.62-2.77
Ca 0.3098 0.9414 0.1444  4 Rh 2.90-3.02, 1 Li 3.06
Ca 0.1902 0.4414 0.3556  4 Rh 2.90-3.02, 1 Li 3.06
Ca 0.6902 0.0586 0.8556  4 Rh 2.90-3.02, 1 Li 3.06
Ca 0.8098 0.5586 0.6444  4 Rh 2.90-3.02, 1 Li 3.06
Ca 0.2766 0.5640 0.0970  4 Rh 2.80-3.05, 1 Li 2.94
Ca 0.2234 0.0640 0.4030  4 Rh 2.80-3.05, 1 Li 2.94
Ca 0.7234 0.4360 0.9030  4 Rh 2.80-3.05, 1 Li 2.94
Ca 0.7766 0.9360 0.5970  4 Rh 2.80-3.05, 1 Li 2.94
Ca 0.8292 0.7571 0.1273  4 Rh 3.02-3.07, 2 Li 3.05-3.22
Ca 0.6708 0.2571 0.3727  4 Rh 3.02-3.07, 2 Li 3.05-3.22
Ca 0.1708 0.2429 0.8727  4 Rh 3.02-3.07, 2 Li 3.05-3.22
Ca 0.3292 0.7429 0.6273  4 Rh 3.02-3.07, 2 Li 3.05-3.22
Rh 0.8246 0.9563 0.3489  2 Li 2.62-2.77, 1 Rh 2.65, 2 Ca 2.80-2.90
Rh 0.6754 0.4563 0.1511  2 Li 2.62-2.77, 1 Rh 2.65, 2 Ca 2.80-2.90
Rh 0.1754 0.0437 0.6511  2 Li 2.62-2.77, 1 Rh 2.65, 2 Ca 2.80-2.90
Rh 0.3246 0.5437 0.8489  2 Li 2.62-2.77, 1 Rh 2.65, 2 Ca 2.80-2.90
Rh 0.3767 0.7360 0.3743  7 Ca 2.90-3.07, 1 Li 3.03
Rh 0.1232 0.2360 0.1257  7 Ca 2.90-3.07, 1 Li 3.03
Rh 0.6232 0.2640 0.6257  7 Ca 2.90-3.07, 1 Li 3.03
Rh 0.8768 0.7640 0.8743  7 Ca 2.90-3.07, 1 Li 3.03

DOS at the Fermi energy ... 10.444 states/eV per cell
Distance to the lowest polymorph of the same formula ... 0.007 eV per atom
E_form ... -0.26 eV/atom
Magnetization ... 0.00 μB per formula unit
Space group ... P2_1/c, No. 14

=====

# 5
This record from Alexandria describes crystalline LiCa4Rh at its relaxed geometry. The functional is PBE-GGA.

Cell lengths 6.4694, 6.4694, 6.4694 Å; angles 60.00, 60.00, 60.00 degrees
With the nearest neighbours (Å) after each atom.
Atoms (fractional coordinates):
Li 0.7500 0.7500 0.7500  12 Ca 3.80, 4 Rh 3.96
Ca 0.8783 0.3739 0.3739  6 Ca 3.21-3.26
Ca 0.3739 0.3739 0.8783  6 Ca 3.21-3.26
Ca 0.3739 0.8783 0.3739  6 Ca 3.21-3.26
Ca 0.3739 0.3739 0.3739  6 Ca 3.21-3.26
Rh 0.0000 0.0000 0.0000  12 Ca 3.79, 4 Li 3.96

DOS at the Fermi energy ... 5.879 states/eV per cell
Distance to the lowest polymorph of the same formula ... 0.816 eV per atom
E_form ... 0.61 eV/atom
Magnetization ... 0.00 μB per formula unit
Space group ... F-43m, No. 216

=====

# 6
This record from Alexandria describes crystalline LiCa2Rh at its relaxed geometry. The functional is PBE-GGA.

Cell lengths 4.1773, 4.1773, 8.5845 Å; angles 84.03, 84.03, 48.56 degrees
With the nearest neighbours (Å) after each atom.
Atoms (fractional coordinates):
Ca 0.9810 0.9810 0.0611  3 Rh 2.75-2.83
Ca 0.5190 0.5190 0.4389  3 Rh 2.75-2.83
Li 0.7500 0.7500 0.7500  6 Ca 3.36-3.61, 2 Li 3.44
Rh 0.2500 0.2500 0.2500  6 Ca 2.75-2.83

DOS at the Fermi energy ... 1.708 states/eV per cell
E_form ... -0.08 eV/atom
Magnetization ... 0.00 μB per formula unit
Space group ... C2/m, No. 12

=====

# 7
This record from Alexandria describes crystalline LiCa4Rh at its relaxed geometry. The functional is PBE-GGA.

Cell lengths 5.0614, 5.0612, 7.6174 Å; angles 89.96, 89.99, 90.00 degrees
With the nearest neighbours (Å) after each atom.
Atoms (fractional coordinates):
Li 0.5012 0.4975 0.9983  8 Ca 3.31-3.32
Ca 0.5011 0.9970 0.2793  2 Rh 3.03, 2 Li 3.31, 1 Ca 3.33
Ca 0.5014 0.9977 0.7169  2 Rh 3.03, 2 Li 3.32, 1 Ca 3.33
Ca 0.0014 0.4976 0.7170  2 Rh 3.03-3.04, 2 Li 3.32, 1 Ca 3.33
Ca 0.0011 0.4971 0.2794  2 Rh 3.03, 2 Li 3.31, 1 Ca 3.33
Rh 0.0016 0.9968 0.4979  8 Ca 3.03-3.04

DOS at the Fermi energy ... 2.770 states/eV per cell
Distance to the lowest polymorph of the same formula ... 0.148 eV per atom
E_form ... -0.06 eV/atom
Magnetization ... 0.00 μB per formula unit
Space group ... P4/mmm, No. 123

=====

# 8
This record from Alexandria describes crystalline Li2Ca4Rh at its relaxed geometry. The functional is PBE-GGA.

Cell lengths 5.4493, 5.4493, 9.0670 Å; angles 107.49, 107.49, 90.00 degrees
With the nearest neighbours (Å) after each atom.
Atoms (fractional coordinates):
Ca 0.8287 0.8287 0.6574  1 Rh 2.81
Ca 0.1713 0.1713 0.3426  1 Rh 2.81
Ca 0.0000 0.5000 0.0000  2 Rh 2.72
Ca 0.5000 0.0000 0.0000  2 Rh 2.72
Rh 0.0000 0.0000 0.0000  6 Ca 2.72-2.81
Li 0.6243 0.6243 0.2486  5 Ca 3.36-3.40
Li 0.3757 0.3757 0.7514  5 Ca 3.36-3.40

DOS at the Fermi energy ... 4.893 states/eV per cell
E_form ... -0.05 eV/atom
Magnetization ... 0.00 μB per formula unit
Space group ... I4/mmm, No. 139

=====

# 9
This record from Alexandria describes crystalline LiCa6Rh at its relaxed geometry. The functional is PBE-GGA.

Cell lengths 7.0051, 7.0051, 7.0160 Å; angles 100.31, 100.31, 117.22 degrees
With the nearest neighbours (Å) after each atom.
Atoms (fractional coordinates):
Li 0.0000 0.0000 0.0000  6 Ca 3.08-3.14
Ca 0.2587 0.2587 0.7234  1 Rh 2.73
Ca 0.4628 0.1109 0.2590  1 Rh 2.81, 1 Li 3.08
Ca 0.7413 0.7413 0.2766  1 Rh 2.73
Ca 0.8891 0.5372 0.7410  1 Rh 2.81, 1 Li 3.08
Ca 0.5372 0.8891 0.7410  1 Rh 2.81, 1 Li 3.08
Ca 0.1109 0.4628 0.2590  1 Rh 2.81, 1 Li 3.08
Rh 0.5000 0.5000 0.5000  6 Ca 2.73-2.81

DOS at the Fermi energy ... 6.381 states/eV per cell
E_form ... -0.08 eV/atom
Magnetization ... 0.00 μB per formula unit
Space group ... C2/m, No. 12

=====

# 10
This record from Alexandria describes crystalline Li2Ca2Rh at its relaxed geometry. The functional is PBE-GGA.

Cell lengths 3.5578, 3.5578, 9.7429 Å; angles 79.48, 79.48, 90.00 degrees
With the nearest neighbours (Å) after each atom.
Atoms (fractional coordinates):
Ca 0.4123 0.4123 0.1753  4 Rh 3.01, 1 Ca 3.30
Ca 0.5877 0.5877 0.8247  4 Rh 3.01, 1 Ca 3.30
Rh 0.0000 0.0000 0.0000  8 Ca 3.01
Li 0.7500 0.2500 0.5000  4 Li 2.52
Li 0.2500 0.7500 0.5000  4 Li 2.52

DOS at the Fermi energy ... 2.521 states/eV per cell
Distance to the lowest polymorph of the same formula ... 0.085 eV per atom
E_form ... -0.09 eV/atom
Magnetization ... 0.00 μB per formula unit
Space group ... I4/mmm, No. 139

=====

# 11
This record from Alexandria describes crystalline Li5CaRh2 at its relaxed geometry. The functional is PBE-GGA.

Cell lengths 4.0161, 6.3453, 6.3453 Å; angles 76.17, 71.55, 71.55 degrees
With the nearest neighbours (Å) after each atom.
Atoms (fractional coordinates):
Li 0.0000 0.5000 0.5000  2 Rh 2.50
Li 0.6711 0.5074 0.1503  3 Rh 2.57-2.62, 3 Li 2.71-2.80
Li 0.3289 0.4926 0.8497  3 Rh 2.57-2.62, 3 Li 2.71-2.80
Li 0.3289 0.8497 0.4926  3 Rh 2.57-2.62, 3 Li 2.71-2.80
Li 0.6711 0.1503 0.5074  3 Rh 2.57-2.62, 3 Li 2.71-2.80
Ca 0.0000 0.0000 0.0000  4 Rh 2.89
Rh 0.7269 0.7731 0.7731  7 Li 2.50-2.62
Rh 0.2731 0.2269 0.2269  7 Li 2.50-2.62

DOS at the Fermi energy ... 2.048 states/eV per cell
E_form ... -0.07 eV/atom
Magnetization ... 0.00 μB per formula unit
Space group ... Immm, No. 71

=====

# 12
This record from Alexandria describes crystalline LiCaRh3 at its relaxed geometry. The functional is PBE-GGA.

Cell lengths 4.3229, 4.3229, 4.3229 Å; angles 90.00, 90.00, 90.00 degrees
With the nearest neighbours (Å) after each atom.
Atoms (fractional coordinates):
Ca 0.5000 0.5000 0.5000  12 Rh 3.06
Rh 0.0000 0.5000 0.0000  2 Li 2.16
Rh 0.0000 0.0000 0.5000  2 Li 2.16
Rh 0.5000 0.0000 0.0000  2 Li 2.16
Li 0.0000 0.0000 0.0000  6 Rh 2.16

DOS at the Fermi energy ... 4.246 states/eV per cell
Distance to the lowest polymorph of the same formula ... 0.000 eV per atom
E_form ... 0.24 eV/atom
Magnetization ... 0.00 μB per formula unit
Space group ... Pm-3m, No. 221